## MoHO3 (GGA+U)

Data for a geometry-optimized MoHO3 structure.

Cell and atoms, written as POSCAR:
```
MoHO3
1.0
1.5395 -8.9701 0.0000
1.5395 8.9701 0.0000
0.0000 0.0000 4.9079
Mo H O
2 2 6
Direct
0.1381 0.8619 0.7500
0.8619 0.1381 0.2500
0.3352 0.6648 0.7500
0.6648 0.3352 0.2500
0.0438 0.9562 0.7500
0.3333 0.6667 0.5043
0.3333 0.6667 0.9957
0.6667 0.3333 0.0043
0.6667 0.3333 0.4957
0.9562 0.0438 0.2500
```

N(E_F) (states/eV per atom): 0.00
Calculated volume (Å³ per atom): 13.56
Final energy (eV per atom): -6.417